Density functional theory data (PBE with a Hubbard U) for an optimized crystal structure of BaCoWO2.

Properties
**Density of states at the Fermi level**: 3.36 states/eV/f.u.
**Space group**: P4/mmm (123)
**Crystal system**: tetragonal
**E**: -18.78 eV for the cell shown

Geometry as CIF:
```
data_BaCoWO2
_chemical_formula_sum 'Ba1 Co1 W1 O2'
_cell_length_a 4.479
_cell_length_b 7.755
_cell_length_c 4.479
_cell_angle_alpha 90.00
_cell_angle_beta 90.00
_cell_angle_gamma 90.00
_space_group_name_H-M_alt 'P 1'
_space_group_IT_number 1
loop_
_space_group_symop_operation_xyz
'x,y,z'
loop_
_atom_site_label
_atom_site_type_symbol
_atom_site_fract_x
_atom_site_fract_y
_atom_site_fract_z
Co1 Co 0.500 0.500 0.500
O1 O 0.000 0.000 0.500
Ba1 Ba 0.000 0.000 0.000
W1 W 0.000 0.500 0.000
O2 O 0.500 0.000 0.000
```